{
  "formula": "ThAl11Os",
  "functional": "PBE",
  "state": "optimized geometry",
  "volume_a3_per_fu": 223,
  "total_magnetization_mub_per_fu": 0.00,
  "crystal_system": "monoclinic",
  "formation_enthalpy_0k_mev_per_atom": -244,
  "space_group": "C2/m",
  "total_energy_ev_per_atom": -4.85,
  "lattice_angstrom": [[2.620, -6.339, 0.000], [2.620, 6.339, 0.000], [-2.596, 0.000, 6.714]],
  "species": ["Th", "Al", "Al", "Al", "Al", "Al", "Al", "Al", "Al", "Al", "Al", "Al", "Os"],
  "fractional_positions": [[0.000, 0.000, 0.000], [0.000, 0.000, 0.500], [0.000, 0.500, 0.000], [0.016, 0.364, 0.360], [0.282, 0.500, 0.774], [0.364, 0.016, 0.360], [0.500, 0.000, 0.000], [0.500, 0.282, 0.774], [0.500, 0.718, 0.226], [0.636, 0.984, 0.640], [0.718, 0.500, 0.226], [0.984, 0.636, 0.640], [0.500, 0.500, 0.500]]
}